AcTb4SmEr2: relaxed, GGA-PBE.

```
AcTb4SmEr2
1.0
5.094 0.000 0.000
0.000 5.123 0.000
0.000 0.000 10.196
Ac Tb Sm Er
1 4 1 2
Direct
0.000 0.000 0.000
0.000 0.500 0.257
0.000 0.500 0.743
0.500 0.000 0.258
0.500 0.000 0.742
0.500 0.500 0.500
0.000 0.000 0.500
0.500 0.500 0.000
```

SG: Pmmm
Size of the total moment in μB per formula unit: 0.00
Energy relative to the elements in eV per atom: 0.041
D(E_F) in states/eV/f.u.: 11.640

AcTbSmEr2: relaxed, GGA-PBE.

```
AcTbSmEr2
1.0
3.212 -8.723 0.000
3.212 8.723 0.000
0.000 0.000 6.489
Ac Tb Sm Er
2 2 2 4
Direct
0.159 0.841 0.750
0.841 0.159 0.250
0.231 0.769 0.250
0.769 0.231 0.750
0.348 0.652 0.750
0.652 0.348 0.250
0.249 0.249 0.000
0.249 0.249 0.500
0.751 0.751 0.000
0.751 0.751 0.500
```

SG: Cmcm
Size of the total moment in μB per formula unit: 0.00
Energy relative to the elements in eV per atom: 0.383
D(E_F) in states/eV/f.u.: 7.691

AcTb3Sm6Er2: relaxed, GGA-PBE.

```
AcTb3Sm6Er2
1.0
3.136 -5.429 0.000
3.136 5.429 0.000
-2.094 0.000 11.831
Ac Tb Sm Er
1 3 6 2
Direct
0.000 0.000 0.000
0.167 0.833 0.500
0.500 0.500 0.500
0.833 0.167 0.500
0.084 0.421 0.253
0.252 0.252 0.746
0.421 0.084 0.253
0.579 0.916 0.747
0.748 0.748 0.254
0.916 0.579 0.747
0.333 0.667 0.000
0.667 0.333 0.000
```

SG: C2/m
Size of the total moment in μB per formula unit: 0.00
Energy relative to the elements in eV per atom: 0.028
D(E_F) in states/eV/f.u.: 15.747

AcSmErTe3: relaxed, GGA-PBE.

```
AcSmErTe3
1.0
8.785 0.000 0.000
0.000 4.445 0.000
-3.076 0.000 10.475
Ac Sm Er Te
2 2 2 6
Direct
0.194 0.250 0.219
0.806 0.750 0.781
0.339 0.750 0.907
0.661 0.250 0.093
0.152 0.250 0.623
0.848 0.750 0.377
0.091 0.250 0.890
0.217 0.750 0.460
0.490 0.750 0.211
0.510 0.250 0.789
0.783 0.250 0.540
0.909 0.750 0.110
```

SG: P2_1/m
Formation energy from raw total energies in meV per atom: -1271
Size of the total moment in μB per formula unit: 0.00
D(E_F) in states/eV/f.u.: 4.468